Entry 1:
# AlSiPd3 | Alexandria | GGA-PBE | relaxed
data_AlSiPd3
_cell_length_a 4.486
_cell_length_b 4.486
_cell_length_c 4.486
_cell_angle_alpha 90.00
_cell_angle_beta 90.00
_cell_angle_gamma 90.00
_space_group_name_H-M_alt 'P m -3 m'
_space_group_IT_number 221
_space_group_name_Hall '-P 4 2 3'
loop_
_atom_site_label
_atom_site_type_symbol
_atom_site_fract_x
_atom_site_fract_y
_atom_site_fract_z
_atom_site_occupancy
Al1 Al 0.000 0.000 0.000 1
Si1 Si 0.500 0.500 0.500 1
Pd1 Pd 0.000 0.500 0.500 1
# relative energy among the computed polymorphs = 47.4 kJ/mol of atoms

Entry 2:
A relaxed AlSi2Pd4 crystal. Source: Alexandria, functional GGA-PBE.

The structure in CIF format:
```
data_AlSi2Pd4
_cell_length_a 4.100
_cell_length_b 11.626
_cell_length_c 9.077
_cell_angle_alpha 90.00
_cell_angle_beta 90.00
_cell_angle_gamma 90.00
_space_group_name_H-M_alt 'C m c m'
_space_group_IT_number 63
_space_group_name_Hall '-C 2c 2'
loop_
_atom_site_label
_atom_site_type_symbol
_atom_site_fract_x
_atom_site_fract_y
_atom_site_fract_z
_atom_site_occupancy
Al1 Al 0.000 0.179 0.250 1
Si1 Si 0.000 0.389 0.088 1
Pd1 Pd 0.000 0.000 0.000 1
Pd2 Pd 0.000 0.232 0.599 1
Pd3 Pd 0.000 0.449 0.750 1
```

Entry 3:
# AlSi2Pd8 | Alexandria | GGA-PBE | relaxed
data_AlSi2Pd8
_cell_length_a 3.945
_cell_length_b 7.012
_cell_length_c 11.853
_cell_angle_alpha 90.00
_cell_angle_beta 90.00
_cell_angle_gamma 90.00
_space_group_name_H-M_alt 'I m m m'
_space_group_IT_number 71
_space_group_name_Hall '-I 2 2'
loop_
_atom_site_label
_atom_site_type_symbol
_atom_site_fract_x
_atom_site_fract_y
_atom_site_fract_z
_atom_site_occupancy
Al1 Al 0.000 0.000 0.000 1
Si1 Si 0.000 0.000 0.316 1
Pd1 Pd 0.000 0.190 0.500 1
Pd2 Pd 0.000 0.284 0.166 1
Pd3 Pd 0.000 0.500 0.362 1
# relative energy among the computed polymorphs = 2.3 kJ/mol of atoms

Entry 4:
# AlSi2Pd8 | Alexandria | GGA-PBE | relaxed
data_AlSi2Pd8
_cell_length_a 14.490
_cell_length_b 4.023
_cell_length_c 5.978
_cell_angle_alpha 90.00
_cell_angle_beta 109.77
_cell_angle_gamma 90.00
_space_group_name_H-M_alt 'C 1 2/m 1'
_space_group_IT_number 12
loop_
_space_group_symop_operation_xyz
'x,y,z'
'-x,-y,-z'
'-x,y,-z'
'x,-y,z'
'x+1/2,y+1/2,z'
'-x+1/2,-y+1/2,-z'
'-x+1/2,y+1/2,-z'
'x+1/2,-y+1/2,z'
loop_
_atom_site_label
_atom_site_type_symbol
_atom_site_fract_x
_atom_site_fract_y
_atom_site_fract_z
_atom_site_occupancy
Al1 Al 0.000 0.000 0.000 1
Si1 Si 0.181 0.500 0.691 1
Pd1 Pd 0.030 0.500 0.777 1
Pd2 Pd 0.095 0.000 0.470 1
Pd3 Pd 0.175 0.000 0.964 1
Pd4 Pd 0.195 0.500 0.305 1
# relative energy among the computed polymorphs = 0.0 kJ/mol of atoms

Entry 5:
A relaxed Al2Si2Pd7 crystal. Source: Alexandria, functional GGA-PBE.

The structure in CIF format:
```
data_Al2Si2Pd7
_cell_length_a 3.804
_cell_length_b 11.852
_cell_length_c 7.295
_cell_angle_alpha 90.00
_cell_angle_beta 90.00
_cell_angle_gamma 90.00
_space_group_name_H-M_alt 'I m m 2'
_space_group_IT_number 44
loop_
_space_group_symop_operation_xyz
'x,y,z'
'-x,-y,z'
'-x,y,z'
'x,-y,z'
'x+1/2,y+1/2,z+1/2'
'-x+1/2,-y+1/2,z+1/2'
'-x+1/2,y+1/2,z+1/2'
'x+1/2,-y+1/2,z+1/2'
loop_
_atom_site_label
_atom_site_type_symbol
_atom_site_fract_x
_atom_site_fract_y
_atom_site_fract_z
_atom_site_occupancy
Al1 Al 0.000 0.223 0.000 1
Si1 Si 0.000 0.000 0.235 1
Si2 Si 0.000 0.500 0.148 1
Pd1 Pd 0.000 0.000 0.897 1
Pd2 Pd 0.000 0.117 0.512 1
Pd3 Pd 0.000 0.323 0.301 1
Pd4 Pd 0.000 0.367 0.706 1
```

Entry 6:
A relaxed SmAlSi2Pd5 crystal. Source: Alexandria, functional GGA-PBE.

The structure in CIF format:
```
data_SmAlSi2Pd5
_cell_length_a 4.083
_cell_length_b 4.083
_cell_length_c 10.259
_cell_angle_alpha 90.00
_cell_angle_beta 90.00
_cell_angle_gamma 90.00
_space_group_name_H-M_alt 'P 4/m m m'
_space_group_IT_number 123
_space_group_name_Hall '-P 4 2'
loop_
_atom_site_label
_atom_site_type_symbol
_atom_site_fract_x
_atom_site_fract_y
_atom_site_fract_z
_atom_site_occupancy
Sm1 Sm 0.000 0.000 0.000 1
Al1 Al 0.000 0.000 0.500 1
Si1 Si 0.500 0.500 0.227 1
Pd1 Pd 0.000 0.500 0.349 1
Pd2 Pd 0.500 0.500 0.000 1
```

Entry 7:
A relaxed Sm2AlSi3Pd4 crystal. Source: Alexandria, functional GGA-PBE.

The structure in CIF format:
```
data_Sm2AlSi3Pd4
_cell_length_a 4.226
_cell_length_b 4.226
_cell_length_c 10.102
_cell_angle_alpha 90.00
_cell_angle_beta 90.00
_cell_angle_gamma 90.00
_space_group_name_H-M_alt 'P -4 m 2'
_space_group_IT_number 115
loop_
_space_group_symop_operation_xyz
'x,y,z'
'y,-x,-z'
'-x,-y,z'
'-y,x,-z'
'-x,y,z'
'-y,-x,-z'
'x,-y,z'
'y,x,-z'
loop_
_atom_site_label
_atom_site_type_symbol
_atom_site_fract_x
_atom_site_fract_y
_atom_site_fract_z
_atom_site_occupancy
Sm1 Sm 0.000 0.500 0.249 1
Al1 Al 0.000 0.000 0.500 1
Si1 Si 0.000 0.500 0.871 1
Si2 Si 0.500 0.500 0.500 1
Pd1 Pd 0.000 0.000 0.000 1
Pd2 Pd 0.000 0.500 0.633 1
Pd3 Pd 0.500 0.500 0.000 1
```

Entry 8:
A relaxed Sm3AlSi2Pd9 crystal. Source: Alexandria, functional GGA-PBE.

The structure in CIF format:
```
data_Sm3AlSi2Pd9
_cell_length_a 6.3267
_cell_length_b 6.3267
_cell_length_c 8.8429
_cell_angle_alpha 90.00
_cell_angle_beta 90.00
_cell_angle_gamma 120.00
_space_group_name_H-M_alt 'P -3 m 1'
_space_group_IT_number 164
_space_group_name_Hall '-P 3 2"'
loop_
_atom_site_label
_atom_site_type_symbol
_atom_site_fract_x
_atom_site_fract_y
_atom_site_fract_z
_atom_site_occupancy
Sm1 Sm 0.0000 0.0000 0.0000 1
Sm2 Sm 0.3333 0.6667 0.6864 1
Al1 Al 0.0000 0.0000 0.5000 1
Si1 Si 0.3333 0.6667 0.1754 1
Pd1 Pd 0.0000 0.5000 0.0000 1
Pd2 Pd 0.1457 0.2915 0.2859 1
```

Entry 9:
A relaxed SmAl2SiPd4 crystal. Source: Alexandria, functional GGA-PBE.

The structure in CIF format:
```
data_SmAl2SiPd4
_cell_length_a 4.2906
_cell_length_b 4.2906
_cell_length_c 26.0348
_cell_angle_alpha 90.00
_cell_angle_beta 90.00
_cell_angle_gamma 120.00
_space_group_name_H-M_alt 'R -3 m'
_space_group_IT_number 166
_space_group_name_Hall '-R 3 2"'
loop_
_atom_site_label
_atom_site_type_symbol
_atom_site_fract_x
_atom_site_fract_y
_atom_site_fract_z
_atom_site_occupancy
Sm1 Sm 0.0000 0.0000 0.0000 1
Al1 Al 0.0000 0.0000 0.2432 1
Si1 Si 0.0000 0.0000 0.5000 1
Pd1 Pd 0.0000 0.0000 0.1372 1
Pd2 Pd 0.0000 0.0000 0.4066 1
```

Entry 10:
A relaxed SmAl2SiPd crystal. Source: Alexandria, functional GGA-PBE.

The structure in CIF format:
```
data_SmAl2SiPd
_cell_length_a 4.017
_cell_length_b 4.159
_cell_length_c 11.007
_cell_angle_alpha 90.00
_cell_angle_beta 90.00
_cell_angle_gamma 90.00
_space_group_name_H-M_alt 'I m m 2'
_space_group_IT_number 44
loop_
_space_group_symop_operation_xyz
'x,y,z'
'-x,-y,z'
'-x,y,z'
'x,-y,z'
'x+1/2,y+1/2,z+1/2'
'-x+1/2,-y+1/2,z+1/2'
'-x+1/2,y+1/2,z+1/2'
'x+1/2,-y+1/2,z+1/2'
loop_
_atom_site_label
_atom_site_type_symbol
_atom_site_fract_x
_atom_site_fract_y
_atom_site_fract_z
_atom_site_occupancy
Sm1 Sm 0.000 0.000 0.000 1
Al1 Al 0.000 0.000 0.383 1
Al2 Al 0.000 0.500 0.244 1
Si1 Si 0.000 0.000 0.606 1
Pd1 Pd 0.000 0.500 0.740 1
```

Entry 11:
A relaxed Sr2AlSi4Pd3 crystal. Source: Alexandria, functional GGA-PBE.

The structure in CIF format:
```
data_Sr2AlSi4Pd3
_cell_length_a 4.244
_cell_length_b 4.244
_cell_length_c 10.521
_cell_angle_alpha 90.00
_cell_angle_beta 90.00
_cell_angle_gamma 90.00
_space_group_name_H-M_alt 'P -4 m 2'
_space_group_IT_number 115
loop_
_space_group_symop_operation_xyz
'x,y,z'
'y,-x,-z'
'-x,-y,z'
'-y,x,-z'
'-x,y,z'
'-y,-x,-z'
'x,-y,z'
'y,x,-z'
loop_
_atom_site_label
_atom_site_type_symbol
_atom_site_fract_x
_atom_site_fract_y
_atom_site_fract_z
_atom_site_occupancy
Sr1 Sr 0.000 0.500 0.246 1
Al1 Al 0.000 0.000 0.500 1
Si1 Si 0.000 0.000 0.000 1
Si2 Si 0.000 0.500 0.639 1
Si3 Si 0.500 0.500 0.000 1
Pd1 Pd 0.000 0.500 0.879 1
Pd2 Pd 0.500 0.500 0.500 1
```

| no. | electronic total energy (eV/atom) | Fermi-level density of states (states/eV/f.u.) | spin magnetization (μB/f.u.) |
| --- | --- | --- | --- |
| 1 | -5.014 | 2.09 | 0.00 |
| 2 | -5.576 | 2.96 | 0.00 |
| 3 | -5.698 | 3.87 | 0.00 |
| 4 | -5.722 | 3.61 | 0.00 |
| 5 | -5.678 | 2.35 | 0.00 |
| 6 | -5.640 | 4.29 | 0.00 |
| 7 | -5.945 | 5.57 | 0.00 |
| 8 | -5.693 | 5.76 | 0.00 |
| 9 | -5.566 | 4.01 | 0.00 |
| 10 | -5.310 | 1.19 | 0.00 |
| 11 | -5.082 | 5.58 | 0.00 |